Model a:
# Sr2GeSe

A geometry-optimized Sr2GeSe structure (PBE, Alexandria).

Properties
M_tot, μB per formula unit: 0.000
Volume, Å³/atom: 29.0
SG: Fm-3m (225)

Unit cell a=5.4757 b=5.4757 c=5.4757 alpha=60.00 beta=60.00 gamma=60.00
Atoms (fractional coordinates):
Sr (0.2500, 0.2500, 0.2500)
Sr (0.7500, 0.7500, 0.7500)
Ge (0.0000, 0.0000, 0.0000)
Se (0.5000, 0.5000, 0.5000)


Model b:
# Sr2GeSe

A geometry-optimized Sr2GeSe structure (PBE, Alexandria).

Properties
M_tot, μB per formula unit: 0.000
Volume, Å³/atom: 33.8
SG: I-42d (122)

Unit cell a=8.2628 b=8.2628 c=7.0609 alpha=54.19 beta=54.19 gamma=90.00
Atoms (fractional coordinates):
Sr (0.6410, 0.1250, 0.2500)
Sr (0.1090, 0.6250, 0.2500)
Sr (0.3750, 0.3590, 0.7500)
Sr (0.8750, 0.8910, 0.7500)
Ge (0.5000, 0.5000, 0.0000)
Ge (0.2500, 0.7500, 0.5000)
Se (0.0000, 0.0000, 0.0000)
Se (0.7500, 0.2500, 0.5000)


The structure with the greatest stability is model a.


Model a:
# Ta2GeSe

A geometry-optimized Ta2GeSe structure (PBE, Alexandria).

Properties
M_tot, μB per formula unit: 0.000
Volume, Å³/atom: 16.8
SG: Fm-3m (225)

Unit cell a=4.5657 b=4.5657 c=4.5657 alpha=60.00 beta=60.00 gamma=60.00
Atoms (fractional coordinates):
Ge (0.0000, 0.0000, 0.0000)
Se (0.5000, 0.5000, 0.5000)
Ta (0.2500, 0.2500, 0.2500)
Ta (0.7500, 0.7500, 0.7500)


Model b:
# Ta2GeSe

A geometry-optimized Ta2GeSe structure (PBE, Alexandria).

Properties
M_tot, μB per formula unit: 0.000
Volume, Å³/atom: 19.0
SG: I-42d (122)

Unit cell a=4.0500 b=4.0500 c=9.7127 alpha=77.97 beta=77.97 gamma=90.00
Atoms (fractional coordinates):
Ge (0.5000, 0.5000, 0.0000)
Ge (0.2500, 0.7500, 0.5000)
Se (0.0000, 0.0000, 0.0000)
Se (0.7500, 0.2500, 0.5000)
Ta (0.6228, 0.1250, 0.2500)
Ta (0.1272, 0.6250, 0.2500)
Ta (0.3750, 0.3772, 0.7500)
Ta (0.8750, 0.8728, 0.7500)


The structure with the greatest stability is model a.